No. 1
{
  "formula": "ZnCdCl2",
  "functional": "PBE",
  "state": "relaxed",
  "cell": [[2.0122, 0.0000, 9.8575], [-1.0061, 1.7427, 9.8575], [-1.0061, -1.7427, 9.8575]],
  "species": ["Zn", "Cl", "Cl", "Cd"],
  "fractional_positions": [[0.5000, 0.5000, 0.5000], [0.8811, 0.8811, 0.8811], [0.1189, 0.1189, 0.1189], [0.0000, 0.0000, 0.0000]],
  "formation_energy_uncorrected_mev_per_atom": -665,
  "dos_at_fermi_per_ev_cell": 0.26,
  "e_tot_ev_per_atom": -2.14,
  "spacegroup": "R-3m, No. 166",
  "magnetic_moment_mub_per_fu": 0.02
}



No. 2
{
  "formula": "ZnCdCl2",
  "functional": "PBE",
  "state": "relaxed",
  "cell": [[-6.7140, -2.4624, -0.8927], [2.4425, -6.7731, 0.3127], [-2.7618, -4.6252, 4.4394]],
  "species": ["Zn", "Zn", "Cl", "Cl", "Cl", "Cl", "Cd", "Cd"],
  "fractional_positions": [[0.5000, 0.5000, 0.0000], [0.2500, 0.7500, 0.5000], [0.4859, 0.1250, 0.2500], [0.2641, 0.6250, 0.2500], [0.3750, 0.5141, 0.7500], [0.8750, 0.7359, 0.7500], [0.0000, 0.0000, 0.0000], [0.7500, 0.2500, 0.5000]],
  "formation_energy_uncorrected_mev_per_atom": -597,
  "dos_at_fermi_per_ev_cell": 0.00,
  "e_tot_ev_per_atom": -2.07,
  "spacegroup": "I-42d, No. 122",
  "magnetic_moment_mub_per_fu": 0.00
}



No. 3
{
  "formula": "ZnCdCl2",
  "functional": "PBE",
  "state": "relaxed",
  "cell": [[-3.8428, -2.9653, -1.2070], [0.7129, -3.9021, -3.0467], [-0.2281, -4.6582, 1.8072]],
  "species": ["Zn", "Cl", "Cl", "Cd"],
  "fractional_positions": [[0.7500, 0.7500, 0.7500], [0.0000, 0.0000, 0.0000], [0.2500, 0.2500, 0.2500], [0.5000, 0.5000, 0.5000]],
  "formation_energy_uncorrected_mev_per_atom": -46,
  "dos_at_fermi_per_ev_cell": 2.36,
  "e_tot_ev_per_atom": -1.52,
  "spacegroup": "F-43m, No. 216",
  "magnetic_moment_mub_per_fu": 0.00
}



No. 4
{
  "formula": "ZnCdCl2",
  "functional": "PBE",
  "state": "relaxed",
  "cell": [[6.0723, 0.1819, 0.0851], [5.0664, 3.3522, 0.0851], [3.7797, 1.1992, 5.6887]],
  "species": ["Zn", "Cl", "Cl", "Cd"],
  "fractional_positions": [[0.4901, 0.4901, 0.4038], [0.9278, 0.9278, 0.1804], [0.8567, 0.8567, 0.7233], [0.2255, 0.2255, 0.1925]],
  "formation_energy_uncorrected_mev_per_atom": -609,
  "dos_at_fermi_per_ev_cell": 0.17,
  "e_tot_ev_per_atom": -2.08,
  "spacegroup": "Cm, No. 8",
  "magnetic_moment_mub_per_fu": 0.00
}



No. 5
{
  "formula": "Zn3CdCl",
  "functional": "PBE",
  "state": "relaxed",
  "cell": [[-2.5856, -4.0976, 1.7141], [3.9218, -1.1749, 3.1069], [-2.0852, 2.8710, 3.7179]],
  "species": ["Zn", "Zn", "Zn", "Cl", "Cd"],
  "fractional_positions": [[0.0000, 0.5000, 0.0000], [0.0000, 0.0000, 0.5000], [0.5000, 0.0000, 0.0000], [0.5000, 0.5000, 0.5000], [0.0000, 0.0000, 0.0000]],
  "formation_energy_uncorrected_mev_per_atom": 159,
  "dos_at_fermi_per_ev_cell": 1.28,
  "e_tot_ev_per_atom": -1.16,
  "spacegroup": "Pm-3m, No. 221",
  "magnetic_moment_mub_per_fu": 0.00
}



No. 6
{
  "formula": "ZnCd3Cl",
  "functional": "PBE",
  "state": "relaxed",
  "cell": [[-0.9550, -3.6633, -4.3252], [5.3285, 0.9151, -1.9516], [1.9324, -4.3338, 3.2440]],
  "species": ["Zn", "Cl", "Cd", "Cd", "Cd"],
  "fractional_positions": [[0.5000, 0.5000, 0.5000], [0.0000, 0.0000, 0.0000], [0.0000, 0.5000, 0.0000], [0.0000, 0.0000, 0.5000], [0.5000, 0.0000, 0.0000]],
  "formation_energy_uncorrected_mev_per_atom": 427,
  "dos_at_fermi_per_ev_cell": 7.82,
  "e_tot_ev_per_atom": -0.75,
  "spacegroup": "Pm-3m, No. 221",
  "magnetic_moment_mub_per_fu": 0.00
}



No. 7
{
  "formula": "Zn2CdCl",
  "functional": "PBE",
  "state": "relaxed",
  "cell": [[-4.0267, 1.1061, 2.8012], [-3.2206, 3.5507, -1.5184], [-4.5956, -1.2856, -1.5852]],
  "species": ["Zn", "Zn", "Cl", "Cd"],
  "fractional_positions": [[0.2500, 0.2500, 0.2500], [0.7500, 0.7500, 0.7500], [0.0000, 0.0000, 0.0000], [0.5000, 0.5000, 0.5000]],
  "formation_energy_uncorrected_mev_per_atom": 113,
  "dos_at_fermi_per_ev_cell": 2.21,
  "e_tot_ev_per_atom": -1.21,
  "spacegroup": "Fm-3m, No. 225",
  "magnetic_moment_mub_per_fu": 0.00
}



No. 8
{
  "formula": "Zn2CdCl",
  "functional": "PBE",
  "state": "relaxed",
  "cell": [[3.1217, 0.0000, 0.0000], [0.0000, 4.8399, 0.0000], [0.0000, 0.0000, 5.5269]],
  "species": ["Cd", "Cl", "Zn", "Zn"],
  "fractional_positions": [[0.5000, 0.0000, 0.5000], [0.0000, 0.5000, 0.5000], [0.0000, 0.0000, 0.0000], [0.5000, 0.5000, 0.0000]],
  "formation_energy_uncorrected_mev_per_atom": 2,
  "dos_at_fermi_per_ev_cell": 1.53,
  "e_tot_ev_per_atom": -1.33,
  "spacegroup": "Pmmm, No. 47",
  "magnetic_moment_mub_per_fu": 0.00
}



Which formula does entry 4 have?
ZnCdCl2